(1)
TbDy6Mg2: relaxed, PBE.

The structure in CIF format:
```
data_TbDy6Mg2
_space_group_name_H-M_alt 'P 1'
_space_group_IT_number 1
_cell_length_a 6.624
_cell_length_b 6.624
_cell_length_c 8.182
_cell_angle_alpha 66.12
_cell_angle_beta 66.12
_cell_angle_gamma 60.00
loop_
_space_group_symop_operation_xyz
'x,y,z'
loop_
_atom_site_label
_atom_site_type_symbol
_atom_site_fract_x
_atom_site_fract_y
_atom_site_fract_z
Mg1 Mg 0.655 0.655 0.035
Mg2 Mg 0.523 0.523 0.432
Dy1 Dy 0.982 0.898 0.684
Dy2 Dy 0.600 0.044 0.212
Dy3 Dy 0.145 0.600 0.212
Dy4 Dy 0.898 0.436 0.684
Dy5 Dy 0.436 0.982 0.684
Dy6 Dy 0.044 0.145 0.212
Tb1 Tb 0.383 0.383 0.850
```

* final energy: -33.72 eV/cell
* crystal system: trigonal


(2)
ZrAlOs3: relaxed, PBE.

The structure in CIF format:
```
data_ZrAlOs3
_space_group_name_H-M_alt 'P 1'
_space_group_IT_number 1
_cell_length_a 4.803
_cell_length_b 4.803
_cell_length_c 4.803
_cell_angle_alpha 90.00
_cell_angle_beta 90.00
_cell_angle_gamma 90.00
loop_
_space_group_symop_operation_xyz
'x,y,z'
loop_
_atom_site_label
_atom_site_type_symbol
_atom_site_fract_x
_atom_site_fract_y
_atom_site_fract_z
Al1 Al 0.500 0.500 0.500
Os1 Os 0.000 0.500 0.000
Os2 Os 0.000 0.000 0.500
Os3 Os 0.500 0.000 0.000
Zr1 Zr 0.000 0.000 0.000
```

* crystal system: cubic
* offset from the most stable computed form: 1574 meV per atom


(3)
CaIr2Pt: relaxed, PBE.

The structure in CIF format:
```
data_CaIr2Pt
_space_group_name_H-M_alt 'P 1'
_space_group_IT_number 1
_cell_length_a 4.599
_cell_length_b 4.599
_cell_length_c 4.599
_cell_angle_alpha 60.00
_cell_angle_beta 60.00
_cell_angle_gamma 60.00
loop_
_space_group_symop_operation_xyz
'x,y,z'
loop_
_atom_site_label
_atom_site_type_symbol
_atom_site_fract_x
_atom_site_fract_y
_atom_site_fract_z
Ca1 Ca 0.500 0.500 0.500
Ir1 Ir 0.000 0.000 0.000
Ir2 Ir 0.750 0.750 0.750
Pt1 Pt 0.250 0.250 0.250
```

* crystal system: cubic
* offset from the most stable computed form: 296 meV per atom


no.,calculated density (g/cm3)
1,7.14
2,10.32
3,14.96